Pa2CoPt: optimized geometry, GGA-PBE.

Summary:
For the energy relative to the elements, the calculation gives -174 kJ/mol of formula units. The value obtained for the polymorph energy (0 for the lowest one) is 156 meV/atom. As for the energy: -33.94 eV/cell. The calculation puts the density at 15.1 Mg/m³. The crystal system is tetragonal.

Lattice parameters (Å, degrees): 3.4448 3.4448 6.6341 90.00 90.00 90.00
With the nearest neighbours (Å) after each atom.
Fractional positions:
Pa: 0.0000 0.0000 0.2182  4 Co 2.83, 1 Pa 2.89, 4 Pt 3.07
Pa: 0.0000 0.0000 0.7818  4 Co 2.83, 1 Pa 2.89, 4 Pt 3.07
Co: 0.5000 0.5000 0.0000  8 Pa 2.83
Pt: 0.5000 0.5000 0.5000  8 Pa 3.07, 2 Co 3.32

Cd3OsPd: optimized geometry, GGA-PBE.

Summary:
For the energy relative to the elements, the calculation gives 511 kJ/mol of formula units. The value obtained for the polymorph energy (0 for the lowest one) is 0 meV/atom. As for the energy: -13.87 eV/cell. The calculation puts the density at 7.8 Mg/m³. The crystal system is cubic.

Lattice parameters (Å, degrees): 5.1378 5.1378 5.1378 90.00 90.00 90.00
With the nearest neighbours (Å) after each atom.
Fractional positions:
Cd: 0.0000 0.0000 0.5000  2 Os 2.57
Cd: 0.0000 0.5000 0.0000  2 Os 2.57
Cd: 0.5000 0.0000 0.0000  2 Os 2.57
Os: 0.0000 0.0000 0.0000  6 Cd 2.57
Pd: 0.5000 0.5000 0.5000  12 Cd 3.63

CeTl2Au9: optimized geometry, GGA-PBE.

Summary:
For the energy relative to the elements, the calculation gives -196 kJ/mol of formula units. As for the energy: -42.19 eV/cell. The calculation puts the density at 14.7 Mg/m³. The crystal system is trigonal.

Lattice parameters (Å, degrees): 9.9983 9.9983 9.9983 32.86 32.86 32.86
With the nearest neighbours (Å) after each atom.
Fractional positions:
Ce: 0.0000 0.0000 0.0000  6 Au 3.27
Tl: 0.1450 0.1450 0.1450  12 Au 3.32-3.41, 3 Tl 3.49
Tl: 0.8550 0.8550 0.8550  12 Au 3.32-3.41, 3 Tl 3.49
Au: 0.0820 0.5829 0.5829  7 Au 2.82-2.89
Au: 0.3325 0.3325 0.3325  6 Au 2.83-2.88
Au: 0.4171 0.4171 0.9180  7 Au 2.82-2.89
Au: 0.4171 0.9180 0.4171  7 Au 2.82-2.89
Au: 0.5000 0.5000 0.5000  6 Au 2.89
Au: 0.5829 0.0820 0.5829  7 Au 2.82-2.89
Au: 0.5829 0.5829 0.0820  7 Au 2.82-2.89
Au: 0.6675 0.6675 0.6675  6 Au 2.83-2.88
Au: 0.9180 0.4171 0.4171  7 Au 2.82-2.89

Question: Among the records above, which one has the lowest density?
Answer: Cd3OsPd